SrPb2 | PBE | relaxed

For the mass density, the calculation gives 6.47 g/cm3. For the magnetization, the calculation gives 0.000 Bohr magnetons per cell. The calculation puts the energy at -2.8324 eV/atom.

It has space group Pa-3 (No. 205), with a = 8.0187 Å, b = 8.0187 Å, c = 8.0187 Å, α = 90.00°, β = 90.00° and γ = 90.00°. Symmetry generates all atoms from Sr at (0.0000, 0.0000, 0.0000) and Pb at (0.1038, 0.6038, 0.8962).